Arrangement A

Compound: Zn2HIr
Source: Alexandria
Functional: PBE
Structure: relaxed

```
4
Lattice="0.0000 2.9725 2.9725 2.9725 0.0000 2.9725 2.9725 2.9725 0.0000" Properties=species:S:1:pos:R:3 pbc="T T T"
H 0.0000 0.0000 0.0000
Zn 1.4863 1.4863 1.4863
Zn 4.4588 4.4588 4.4588
Ir 2.9725 2.9725 2.9725
```

The total magnetization is 0.3 μB per cell. As for the space group: Fm-3m, No. 225.


Arrangement B

Compound: Zn2HIr
Source: Alexandria
Functional: PBE
Structure: relaxed

```
4
Lattice="2.7718 0.0000 -0.7411 -0.4148 3.9272 -1.5515 -0.2218 -0.4491 4.7241" Properties=species:S:1:pos:R:3 pbc="T T T"
Zn 2.0881 3.4038 2.2559
Zn 1.9151 0.8378 1.6086
H 1.2938 2.1462 -0.7150
Ir 0.1517 2.5321 0.5673
```

The total magnetization is 0.0 μB per cell. As for the space group: Imm2, No. 44.


The structure with the greatest stability is arrangement B.


Arrangement A

Compound: ZrHIr3
Source: Alexandria
Functional: PBE
Structure: relaxed

```
20
Lattice="11.2939 0.0000 -0.5947 4.7891 4.6827 -2.9575 -4.7891 4.6827 2.9575" Properties=species:S:1:pos:R:3 pbc="T T T"
H 1.2175 2.9718 0.0744
H 6.8645 1.7109 -0.2229
H 10.0763 6.3937 -0.6692
H 4.4294 7.6546 -0.3718
Ir 1.2522 4.6642 -0.3578
Ir 2.0903 8.0085 -0.6234
Ir 7.7002 3.3742 -0.9650
Ir 10.0416 4.7013 -0.2369
Ir 3.5566 3.3258 0.3260
Ir 9.1839 4.6642 -2.8970
Ir 9.2406 8.0570 0.0729
Ir 9.2036 1.3570 0.0286
Ir 2.0532 1.3085 -0.6676
Ir 3.5937 5.9913 0.3702
Ir 2.1100 4.7013 2.3023
Ir 7.7373 6.0397 -0.9207
Zr 5.2180 5.3178 -1.6274
Zr 0.4289 6.7450 1.3300
Zr 6.0758 4.0477 1.0327
Zr 10.8650 2.6205 -1.9248
```

The total magnetization is 0.0 μB per cell. As for the space group: C2/c, No. 15.


Arrangement B

Compound: ZrHIr3
Source: Alexandria
Functional: PBE
Structure: relaxed

```
10
Lattice="4.5185 0.0000 2.2895 0.0000 7.5031 0.0000 1.3742 0.0000 4.8758" Properties=species:S:1:pos:R:3 pbc="T T T"
H 0.1546 1.8758 0.1863
H 5.7381 5.6273 6.9791
Ir 5.0711 7.0693 6.1676
Ir 1.5315 5.6273 1.8637
Ir 0.8216 3.3177 0.9977
Ir 5.0711 4.1854 6.1676
Ir 4.3612 1.8758 5.3017
Ir 0.8216 0.4338 0.9977
Zr 2.6161 1.8758 3.1799
Zr 3.2766 5.6273 3.9854
```

The total magnetization is 0.0 μB per cell. As for the space group: Cmcm, No. 63.


The structure with the greatest stability is arrangement B.


Arrangement A

Compound: ZrHIr3
Source: Alexandria
Functional: PBE
Structure: relaxed

```
10
Lattice="4.6177 0.0000 0.9169 0.0000 5.7518 0.0000 -0.9269 0.0000 4.9023" Properties=species:S:1:pos:R:3 pbc="T T T"
H 3.9302 1.4380 2.1554
H -0.2394 4.3139 3.6637
Ir 0.9848 1.4380 1.8111
Ir 3.2522 5.6914 1.4649
Ir 0.4386 0.0604 4.3542
Ir 0.4386 2.8155 4.3542
Ir 3.2522 2.9363 1.4649
Ir 2.7060 4.3139 4.0080
Zr 2.8577 1.4380 3.9779
Zr 0.8332 4.3139 1.8412
```

The total magnetization is 0.0 μB per cell. As for the space group: P2_1/m, No. 11.


Arrangement B

Compound: ZrHIr3
Source: Alexandria
Functional: PBE
Structure: relaxed

```
20
Lattice="17.6634 0.0000 -2.7128 0.0000 4.6000 0.0000 -6.3384 0.0000 4.2443" Properties=species:S:1:pos:R:3 pbc="T T T"
Ir 8.6633 1.1789 -0.5236
Ir 16.1266 1.1324 -2.0207
Ir 7.1993 3.4325 0.0735
Ir -3.3376 1.1211 2.9550
Ir 5.9502 1.1497 -0.8906
Ir -4.8016 3.4676 3.5521
Ir 5.3749 3.4503 2.4221
Ir -0.2877 3.4497 1.6564
Ir 2.6617 3.4211 2.0550
Ir 4.1257 1.1676 1.4579
Ir 14.6626 3.4789 -1.4235
Ir 11.6127 1.1503 -0.1249
Zr 4.3542 3.4811 -0.2106
Zr 6.9709 1.1190 1.7420
Zr 10.0167 3.4190 0.5551
Zr 1.3083 1.1810 0.9763
H 13.1008 2.6554 -0.9427
H -1.7757 1.9446 2.4741
H 1.0999 4.2446 2.5359
H 10.2252 0.3554 -1.0044
```

The total magnetization is 0.0 μB per cell. As for the space group: P2_1/c, No. 14.


Arrangement C

Compound: ZrHIr3
Source: Alexandria
Functional: PBE
Structure: relaxed

```
20
Lattice="-0.9203 4.5377 -2.1791 -6.9465 -0.6765 1.5248 1.1769 3.5753 6.9481" Properties=species:S:1:pos:R:3 pbc="T T T"
Zr -3.9334 1.9306 -0.3272
Zr 0.5885 1.7877 3.4741
Zr -2.8848 1.4494 4.2365
Zr -0.4601 2.2688 -1.0895
H -4.8496 6.4938 5.8914
H -4.8271 2.8954 4.3971
H -1.8402 0.9426 0.4024
H -1.8627 4.5410 1.8967
Ir -1.1347 3.5725 4.7835
Ir -3.0002 3.1358 1.9995
Ir -5.4572 2.4757 7.2490
Ir -0.5477 3.3747 1.4612
Ir -1.2326 4.9608 -0.9552
Ir -3.0047 2.7145 6.7107
Ir -1.5134 6.0886 4.1745
Ir -5.1764 1.3478 2.1193
Ir -3.6896 4.3006 4.2943
Ir -6.1420 4.0618 4.8327
Ir -5.5551 3.8639 1.5103
Ir -3.6851 4.7219 -0.4168
```

The total magnetization is 0.0 μB per cell. As for the space group: Pnma, No. 62.


Arrangement D

Compound: ZrHIr3
Source: Alexandria
Functional: PBE
Structure: relaxed

```
5
Lattice="3.0261 0.0000 4.4839 -1.5131 2.6207 4.4839 -1.5131 -2.6207 4.4839" Properties=species:S:1:pos:R:3 pbc="T T T"
H 0.0000 0.0000 0.9519
Ir 0.7381 -1.2785 8.8475
Ir 0.7381 1.2785 8.8475
Ir -1.4762 0.0000 8.8475
Zr 0.0000 0.0000 11.1790
```

The total magnetization is 1.2 μB per cell. As for the space group: R3m, No. 160.


The structure with the greatest stability is arrangement B.


Arrangement A

Compound: ZrHIr3
Source: Alexandria
Functional: PBE
Structure: relaxed

```
10
Lattice="-4.1776 -0.2759 -3.0034 -0.6218 -4.6872 2.0474 -2.3832 2.4751 3.8396" Properties=species:S:1:pos:R:3 pbc="T T T"
Zr 0.0000 0.0000 0.0000
Zr -3.5913 -1.2440 1.4418
Ir -4.6944 1.0627 2.5944
Ir -4.9516 -2.1653 -0.8313
Ir -4.2591 0.7634 -0.3996
Ir -2.9235 -3.2514 3.2832
Ir -2.2310 -0.3227 3.7149
Ir -2.4882 -3.5507 0.2892
H -1.7956 -0.6220 0.7209
H -5.3869 -1.8660 2.1627
```

The total magnetization is 0.0 μB per cell. As for the space group: R-3c, No. 167.


Arrangement B

Compound: ZrHIr3
Source: Alexandria
Functional: PBE
Structure: relaxed

```
20
Lattice="-10.7109 -6.4877 -2.1302 -3.3666 -6.6672 2.6341 3.8846 2.8891 6.2680" Properties=species:S:1:pos:R:3 pbc="T T T"
Ir -3.6080 -4.2628 5.1164
Ir -0.0857 -3.9005 7.7075
Ir -10.1073 -6.3653 -0.9357
Ir -6.5849 -6.0030 1.6553
Ir -8.8469 -8.3573 6.0556
Ir -4.6086 -4.1659 2.5902
Ir -1.4699 -2.3842 5.6517
Ir -10.5799 -9.4665 0.5555
Ir -5.5844 -6.0999 4.1816
Ir -8.7230 -7.8816 1.1201
Ir -1.3461 -1.9086 0.7162
Ir 0.3869 -0.7993 6.2163
H -5.8471 -5.1997 5.7267
H -4.3459 -5.0661 1.0451
H -4.1179 -6.7292 4.9636
H -6.0751 -3.5366 1.8082
Zr -2.5231 -2.2792 3.2220
Zr 1.1907 0.9142 4.3612
Zr -11.3837 -11.1800 2.4106
Zr -7.6699 -7.9866 3.5498
```

The total magnetization is 0.0 μB per cell. As for the space group: C2/c, No. 15.


Arrangement C

Compound: ZrHIr3
Source: Alexandria
Functional: PBE
Structure: relaxed

```
10
Lattice="5.7496 0.0008 -0.0006 -0.0024 5.7072 -0.0005 -2.8729 -2.8104 4.0525" Properties=species:S:1:pos:R:3 pbc="T T T"
Ir 2.6414 0.0181 3.6831
Ir -0.3683 2.9121 3.7513
Ir -0.3362 0.0177 3.6835
Ir 4.0252 4.3293 1.7310
Ir 2.6707 2.9127 3.7506
Ir 1.1516 1.3803 1.6079
H 1.1508 2.5255 2.9466
H 4.0254 3.7319 0.0439
Zr 4.0263 1.4550 1.6730
Zr 1.1503 4.2926 1.6821
```

The total magnetization is 0.0 μB per cell. As for the space group: R3m, No. 160.


The structure with the greatest stability is arrangement C.


Arrangement A

Compound: ZrHIr3
Source: Alexandria
Functional: PBE
Structure: relaxed

```
10
Lattice="-3.3299 1.4821 -3.5477 -3.7436 -2.3195 2.5448 -5.2236 7.8149 4.5217" Properties=species:S:1:pos:R:3 pbc="T T T"
Zr 0.0000 0.0000 0.0000
Zr -6.2520 2.5384 3.2826
Ir -6.5611 0.6172 1.0767
Ir -4.4787 4.1789 2.3035
Ir -7.8184 2.7986 1.2154
Ir -5.8468 5.3423 4.0737
Ir -7.5854 4.2652 5.2555
Ir -5.0147 -0.0712 2.7243
H -6.1148 4.7792 0.4438
H -5.9755 4.0992 0.0289
```

The total magnetization is 0.5 μB per cell. As for the space group: I-4m2, No. 119.


Arrangement B

Compound: ZrHIr3
Source: Alexandria
Functional: PBE
Structure: relaxed

```
5
Lattice="-2.9702 2.1153 1.2365 -1.7648 -3.1949 1.2263 2.7580 0.6154 5.5722" Properties=species:S:1:pos:R:3 pbc="T T T"
Ir 2.0458 0.4565 4.1333
Ir -0.2276 1.3382 3.1591
Ir 0.3752 -1.3168 3.1540
H -1.0790 -0.2523 3.8348
Zr 0.3938 0.0879 0.7957
```

The total magnetization is 0.0 μB per cell. As for the space group: P4mm, No. 99.


The structure with the greatest stability is arrangement B.


Arrangement A

Compound: ZrHIr3
Source: Alexandria
Functional: PBE
Structure: relaxed

```
10
Lattice="-15.7977 6.6799 2.8505 -6.3977 1.3787 -1.8964 5.2323 -4.0353 1.6634" Properties=species:S:1:pos:R:3 pbc="T T T"
Zr -20.3157 7.2604 0.6531
Zr 3.3527 -3.2372 1.9643
Ir -16.5991 5.5611 1.4384
Ir -7.3698 1.5020 1.5579
Ir -4.5805 0.3439 0.8128
Ir -9.5933 2.5212 1.0595
Ir -12.3826 3.6794 1.8046
Ir -0.3640 -1.5379 1.1790
H -12.2061 3.8008 -0.4616
H -4.7569 0.2225 3.0790
```

The total magnetization is 0.0 μB per cell. As for the space group: C2/m, No. 12.


Arrangement B

Compound: ZrHIr3
Source: Alexandria
Functional: PBE
Structure: relaxed

```
5
Lattice="-1.8732 1.5931 -1.3067 -2.7417 -4.1248 -1.0985 -2.9809 -0.1399 4.1028" Properties=species:S:1:pos:R:3 pbc="T T T"
Ir -2.6154 -1.3137 -0.8194
Ir -2.8772 -1.8675 1.8479
Ir -4.8817 -3.0026 0.3704
H -2.8044 -3.0813 0.2636
Zr -3.9070 0.4827 3.2223
```

The total magnetization is 0.0 μB per cell. As for the space group: Amm2, No. 38.


The structure with the greatest stability is arrangement A.


Arrangement A

Compound: ZrHIr3
Source: Alexandria
Functional: PBE
Structure: relaxed

```
10
Lattice="-1.3378 -5.5052 -0.6786 3.2276 -4.0044 2.4709 -3.3237 3.3246 3.2338" Properties=species:S:1:pos:R:3 pbc="T T T"
Zr -1.6778 -2.1467 4.1586
Zr -2.2933 -4.5723 0.9655
Ir -2.3896 -4.9158 3.8166
Ir -3.2710 -0.1402 2.9642
Ir -0.6307 -6.5960 2.2718
Ir -1.6899 -1.8788 1.2967
Ir 0.0060 -3.7952 2.5035
Ir -3.9039 -2.9145 2.5102
H -0.1306 -1.0976 1.4160
H -0.5602 -4.8976 3.8496
```

The total magnetization is 0.0 μB per cell. As for the space group: R3m, No. 160.


Arrangement B

Compound: ZrHIr3
Source: Alexandria
Functional: PBE
Structure: relaxed

```
20
Lattice="3.2950 14.1823 9.3981 -2.7699 -1.6097 3.4003 1.7557 -5.2587 -1.0593" Properties=species:S:1:pos:R:3 pbc="T T T"
Ir 2.0492 2.2082 3.6585
Ir 1.2230 4.7744 4.1903
Ir -0.8885 -1.5858 2.6686
Ir -0.3558 2.6130 5.1613
Ir 1.0578 2.5395 7.5488
Ir 0.0324 -4.2834 2.1517
Ir 1.6518 6.7739 9.9663
Ir 2.6366 4.7009 6.5778
Ir 3.1694 8.8997 9.0705
Ir 2.2485 11.5973 9.5874
Ir 0.6290 0.5400 1.7728
Ir 0.2317 5.1056 8.0806
Zr 1.7662 7.3694 7.1630
Zr 0.5147 -0.0555 4.5761
Zr 1.5410 -2.0347 1.2659
Zr 0.7398 9.3485 10.4732
H 1.4981 -3.6484 -0.4793
H 0.9066 5.2811 6.4204
H 1.3742 2.0328 5.3187
H 0.7828 10.9623 12.2183
```

The total magnetization is 0.0 μB per cell. As for the space group: P2_1/c, No. 14.


The structure with the greatest stability is arrangement A.


Arrangement A

Compound: ZrHIr3
Source: Alexandria
Functional: PBE
Structure: relaxed

```
20
Lattice="0.0000 5.2916 5.2916 5.2916 0.0000 5.2916 5.2916 5.2916 0.0000" Properties=species:S:1:pos:R:3 pbc="T T T"
Ir 8.5809 5.2916 5.2916
Ir 2.6458 2.6458 0.6435
Ir 2.6458 0.6435 2.6458
Ir 2.0023 5.2916 5.2916
Ir 5.2916 5.2916 8.5809
Ir 2.6458 4.6481 2.6458
Ir 4.6481 2.6458 2.6458
Ir 5.2916 8.5809 5.2916
Ir 0.6435 2.6458 2.6458
Ir 5.2916 2.0023 5.2916
Ir 2.6458 2.6458 4.6481
Ir 5.2916 5.2916 2.0023
Zr 3.9687 3.9687 6.6145
Zr 3.9687 6.6145 3.9687
Zr 6.6145 3.9687 3.9687
Zr 6.6145 6.6145 6.6145
H 1.3229 1.3229 1.3229
H 3.9687 1.3229 3.9687
H 1.3229 3.9687 3.9687
H 3.9687 3.9687 1.3229
```

The total magnetization is 0.0 μB per cell. As for the space group: Fd-3m, No. 227.


Arrangement B

Compound: ZrHIr3
Source: Alexandria
Functional: PBE
Structure: relaxed

```
10
Lattice="-2.9191 3.1450 1.3631 -1.1041 -2.7941 -3.3532 -3.0953 -5.1886 5.3427" Properties=species:S:1:pos:R:3 pbc="T T T"
Zr -3.0879 -0.1319 1.1267
Zr -4.0306 -4.7059 2.2259
H 0.0000 0.0000 0.0000
H -1.5476 -2.5943 2.6713
Ir -4.1142 -1.8521 2.8980
Ir -2.3215 -3.8915 4.0070
Ir -5.1570 -3.6002 4.6980
Ir -1.9615 -1.2375 -1.3454
Ir -3.0043 -2.9856 0.4546
Ir -0.7738 -1.2972 1.3357
```

The total magnetization is 0.0 μB per cell. As for the space group: P6_3/mmc, No. 194.


The structure with the greatest stability is arrangement A.